A relaxed NaNb2HgO crystal, computed with GGA-PBE.

theoretical density = 6.494 g/cm³
magnetic moment = 0.0 μB/f.u.
SG = P4/mmm, No. 123
VASP energy = -3.11 eV/atom
crystal system = tetragonal

a b c (Å): 4.768 4.768 4.785
angles (deg): 90.00 90.00 90.00
Element x y z (fractional)
Na: 0.000 0.000 0.000
Nb: 0.000 0.500 0.000
Nb: 0.500 0.000 0.000
Hg: 0.000 0.000 0.500
O: 0.500 0.500 0.500

A relaxed NaSr2NbHg crystal, computed with GGA-PBE.

theoretical density = 3.881 g/cm³
ΔH_f (0 K) = 0.556 eV per atom
magnetic moment = 3.1 μB/f.u.
SG = P4/mmm, No. 123
VASP energy = -2.46 eV/atom
crystal system = tetragonal

a b c (Å): 6.228 6.228 5.425
angles (deg): 90.00 90.00 90.00
Element x y z (fractional)
Na: 0.000 0.000 0.000
Sr: 0.000 0.500 0.500
Sr: 0.500 0.000 0.500
Nb: 0.500 0.500 0.000
Hg: 0.500 0.500 0.500

A relaxed NaSr2NbHg crystal, computed with GGA-PBE.

theoretical density = 3.974 g/cm³
ΔH_f (0 K) = 0.747 eV per atom
magnetic moment = 4.4 μB/f.u.
SG = P4/mmm, No. 123
VASP energy = -2.26 eV/atom
crystal system = tetragonal

a b c (Å): 6.165 6.165 5.407
angles (deg): 90.00 90.00 90.00
Element x y z (fractional)
Na: 0.000 0.000 0.000
Sr: 0.000 0.500 0.500
Sr: 0.500 0.000 0.500
Nb: 0.500 0.500 0.000
Hg: 0.000 0.000 0.500

A relaxed NaTaNbHg2 crystal, computed with GGA-PBE.

theoretical density = 10.614 g/cm³
ΔH_f (0 K) = 1.667 eV per atom
magnetic moment = 0.0 μB/f.u.
SG = P4/mmm, No. 123
VASP energy = -3.10 eV/atom
crystal system = tetragonal

a b c (Å): 4.676 4.676 4.994
angles (deg): 90.00 90.00 90.00
Element x y z (fractional)
Na: 0.000 0.000 0.000
Ta: 0.500 0.500 0.500
Nb: 0.000 0.000 0.500
Hg: 0.000 0.500 0.000
Hg: 0.500 0.000 0.000